w | # SmHoAsO

A relaxed structure of SmHoAsO (PBE, OQMD).

As for the symmetry: Pmc2_1, No. 26.

Cell and atoms, written as POSCAR:
```
SmHoAsO
1.0
4.250 0.000 0.000
0.000 7.586 0.000
0.000 0.000 6.032
As Ho O Sm
2 2 2 2
Direct
0.000 0.827 0.427 As
0.000 0.173 0.927 As
0.500 0.392 0.015 Ho
0.500 0.608 0.515 Ho
0.500 0.335 0.375 O
0.500 0.665 0.875 O
0.000 0.206 0.436 Sm
0.000 0.794 0.936 Sm
```

x | # SmHoAsO

A relaxed structure of SmHoAsO (PBE, OQMD).

As for the symmetry: P4/nmm, No. 129.

Cell and atoms, written as POSCAR:
```
SmHoAsO
1.0
-2.971 -2.742 -1.664
3.150 -2.919 -0.815
-1.224 -3.579 8.081
As Ho O Sm
2 2 2 2
Direct
0.000 0.500 0.300 As
0.500 0.000 0.700 As
0.000 0.000 0.500 Ho
0.500 0.500 0.500 Ho
0.000 0.000 0.000 O
0.500 0.500 0.000 O
0.500 0.000 0.107 Sm
0.000 0.500 0.893 Sm
```

y | # SmHoAsO

A relaxed structure of SmHoAsO (PBE, OQMD).

As for the symmetry: P4/nmm, No. 129.

Cell and atoms, written as POSCAR:
```
SmHoAsO
1.0
-4.061 1.069 -0.933
-1.414 -2.809 2.936
0.253 6.467 6.309
As Ho O Sm
2 2 2 2
Direct
0.000 0.500 0.285 As
0.500 0.000 0.715 As
0.500 0.000 0.097 Ho
0.000 0.500 0.903 Ho
0.000 0.000 0.000 O
0.500 0.500 0.000 O
0.000 0.000 0.500 Sm
0.500 0.500 0.500 Sm
```

Which of them is the least stable? Correct choice: y.

w | # HoSnAsO

A relaxed structure of HoSnAsO (PBE, OQMD).

As for the symmetry: P4/nmm, No. 129.

Cell and atoms, written as POSCAR:
```
HoSnAsO
1.0
5.500 0.000 0.000
0.000 5.500 0.000
0.000 0.000 5.375
As Ho O Sn
2 2 2 2
Direct
0.750 0.750 0.481 As
0.250 0.250 0.519 As
0.750 0.250 0.500 Ho
0.250 0.750 0.500 Ho
0.750 0.250 0.000 O
0.250 0.750 0.000 O
0.250 0.250 0.013 Sn
0.750 0.750 0.987 Sn
```

x | # HoSnAsO

A relaxed structure of HoSnAsO (PBE, OQMD).

As for the symmetry: Pmc2_1, No. 26.

Cell and atoms, written as POSCAR:
```
HoSnAsO
1.0
3.957 0.000 0.000
0.000 8.706 0.000
0.000 0.000 5.952
As Ho O Sn
2 2 2 2
Direct
0.000 0.830 0.414 As
0.000 0.170 0.914 As
0.000 0.157 0.427 Ho
0.000 0.843 0.927 Ho
0.500 0.246 0.374 O
0.500 0.754 0.874 O
0.500 0.365 0.039 Sn
0.500 0.635 0.539 Sn
```

y | # HoSnAsO

A relaxed structure of HoSnAsO (PBE, OQMD).

As for the symmetry: Pmc2_1, No. 26.

Cell and atoms, written as POSCAR:
```
HoSnAsO
1.0
4.901 0.000 0.000
0.000 6.218 0.000
0.000 0.000 6.292
As Ho O Sn
2 2 2 2
Direct
0.000 0.781 0.362 As
0.000 0.219 0.862 As
0.500 0.344 0.060 Ho
0.500 0.656 0.560 Ho
0.500 0.357 0.403 O
0.500 0.643 0.903 O
0.000 0.245 0.429 Sn
0.000 0.755 0.929 Sn
```

Which of them is the least stable? Correct choice: w.

w | # TbHoAsO

A relaxed structure of TbHoAsO (PBE, OQMD).

As for the symmetry: P4/nmm, No. 129.

Cell and atoms, written as POSCAR:
```
TbHoAsO
1.0
4.333 0.000 0.000
0.000 4.333 0.000
0.000 0.000 8.780
As Ho O Tb
2 2 2 2
Direct
0.000 0.500 0.296 As
0.500 0.000 0.704 As
0.000 0.000 0.500 Ho
0.500 0.500 0.500 Ho
0.000 0.000 0.000 O
0.500 0.500 0.000 O
0.500 0.000 0.101 Tb
0.000 0.500 0.899 Tb
```

x | # TbHoAsO

A relaxed structure of TbHoAsO (PBE, OQMD).

As for the symmetry: P4/nmm, No. 129.

Cell and atoms, written as POSCAR:
```
TbHoAsO
1.0
4.326 0.000 0.000
0.000 4.326 0.000
0.000 0.000 8.771
As Ho O Tb
2 2 2 2
Direct
0.000 0.500 0.291 As
0.500 0.000 0.709 As
0.500 0.000 0.098 Ho
0.000 0.500 0.902 Ho
0.000 0.000 0.000 O
0.500 0.500 0.000 O
0.000 0.000 0.500 Tb
0.500 0.500 0.500 Tb
```

Which of them is the least stable? Correct choice: x.